Entry 1:
The following is a DFT calculation (GGA-PBE) of a relaxed NdThMg2 crystal.

## Properties
Total DFT energy (no corrections) in eV/cell: -15.4
ΔE_f in meV per atom: -8.6
Space group: P4/mmm, No. 123
DOS(E_F) in states/eV/cell: 4.6
ΔE to the lowest computed polymorph in meV per atom: 0
Density in g/cm³: 6.13
Volume in Å³/cell: 115

a b c (Å): 3.855 3.855 7.750
angles (deg): 90.00 90.00 90.00
Fractional coordinates of all 4 atoms:
1 Mg 0.000 0.000 0.749
2 Mg 0.000 0.000 0.251
3 Nd 0.500 0.500 0.500
4 Th 0.500 0.500 0.000


Entry 2:
The following is a DFT calculation (GGA-PBE) of a relaxed Pm5Er3Tm2 crystal.

## Properties
Total DFT energy (no corrections) in eV/cell: -89.1
ΔE_f in meV per atom: 185.1
Space group: C2/c, No. 15
DOS(E_F) in states/eV/cell: 34.8
Density in g/cm³: 7.85
Volume in Å³/cell: 662

a b c (Å): 9.895 9.890 11.191
angles (deg): 128.91 128.92 65.08
Fractional coordinates of all 20 atoms:
1 Pm 0.272 0.522 0.045
2 Pm 0.728 0.478 0.955
3 Pm 0.022 0.772 0.543
4 Pm 0.519 0.269 0.538
5 Pm 0.978 0.228 0.457
6 Pm 0.481 0.731 0.462
7 Pm 0.887 0.640 0.764
8 Pm 0.113 0.360 0.236
9 Pm 0.376 0.124 0.764
10 Pm 0.624 0.876 0.236
11 Er 0.225 0.975 0.951
12 Er 0.775 0.025 0.049
13 Er 0.719 0.474 0.249
14 Er 0.281 0.526 0.751
15 Er 0.030 0.775 0.249
16 Er 0.970 0.225 0.751
17 Tm 0.779 0.035 0.759
18 Tm 0.221 0.965 0.241
19 Tm 0.479 0.724 0.759
20 Tm 0.521 0.276 0.241


Entry 3:
The following is a DFT calculation (GGA-PBE) of a relaxed Li2GaMoC crystal.

## Properties
Total DFT energy (no corrections) in eV/cell: -22.4
ΔE_f in meV per atom: 902.8
Space group: P4/mmm, No. 123
DOS(E_F) in states/eV/cell: 2.8
Density in g/cm³: 4.84
Volume in Å³/cell: 66

a b c (Å): 3.970 4.174 3.970
angles (deg): 90.00 90.00 90.00
Each line ends with the local moment (μB).
Fractional coordinates of all 5 atoms:
1 Mo 0.500 0.500 0.500  2.25
2 C 0.000 0.000 0.000  0.06
3 Ga 0.000 0.500 0.000  -0.05
4 Li 0.000 0.000 0.500  0.02
5 Li 0.500 0.000 0.000  0.01


Entry 4:
The following is a DFT calculation (GGA-PBE) of a relaxed In crystal.

## Properties
Total DFT energy (no corrections) in eV/cell: -4.8
ΔE_f in meV per atom: 355.3
Space group: Fd-3m, No. 227
DOS(E_F) in states/eV/cell: 1.7
ΔE to the lowest computed polymorph in meV per atom: 355
Density in g/cm³: 5.09
Volume in Å³/cell: 75

a b c (Å): 4.731 4.731 4.731
angles (deg): 60.00 60.00 60.00
Fractional coordinates of all 2 atoms:
1 In 0.375 0.875 0.875
2 In 0.625 0.125 0.125


Entry 5:
The following is a DFT calculation (GGA-PBE) of a relaxed Li2AgGe crystal.

## Properties
Total DFT energy (no corrections) in eV/cell: -10.9
ΔE_f in meV per atom: 86.7
Space group: Immm, No. 71
DOS(E_F) in states/eV/cell: 2.1
Density in g/cm³: 4.36
Volume in Å³/cell: 74

a b c (Å): 5.860 5.860 5.860
angles (deg): 57.51 150.06 132.12
Fractional coordinates of all 4 atoms:
1 Li 0.000 0.247 0.247
2 Li 0.000 0.753 0.753
3 Ag 0.000 0.500 0.500
4 Ge 0.000 0.000 0.000


Entry 6:
The following is a DFT calculation (GGA-PBE) of a relaxed LiPmHf crystal.

## Properties
Total DFT energy (no corrections) in eV/cell: -32.3
ΔE_f in meV per atom: 155.8
Space group: P-1, No. 2
DOS(E_F) in states/eV/cell: 5.5
Density in g/cm³: 7.37
Volume in Å³/cell: 149

a b c (Å): 3.339 5.278 9.850
angles (deg): 94.00 120.64 90.02
Fractional coordinates of all 6 atoms:
1 Li 0.795 0.794 0.362
2 Li 0.205 0.206 0.638
3 Pm 0.189 0.288 0.291
4 Pm 0.811 0.712 0.709
5 Hf 0.812 0.756 0.041
6 Hf 0.188 0.244 0.959


Entry 7:
The following is a DFT calculation (GGA-PBE) of a relaxed P3PbCl crystal.

## Properties
Total DFT energy (no corrections) in eV/cell: -16.4
Space group: Pm-3m, No. 221
DOS(E_F) in states/eV/cell: 3.9
ΔE to the lowest computed polymorph in meV per atom: 0
Formation energy without anion corrections in eV per atom: 1.0708
Density in g/cm³: 5.14
Volume in Å³/cell: 109

a b c (Å): 4.770 4.770 4.770
angles (deg): 90.00 90.00 90.00
Fractional coordinates of all 5 atoms:
1 Pb 0.500 0.500 0.500
2 P 0.000 0.500 0.000
3 P 0.000 0.000 0.500
4 P 0.500 0.000 0.000
5 Cl 0.000 0.000 0.000


Entry 8:
The following is a DFT calculation (GGA-PBE) of a relaxed Ti2BiF crystal.

## Properties
Total DFT energy (no corrections) in eV/cell: -48.4
Space group: I4_1/amd, No. 141
DOS(E_F) in states/eV/cell: 6.6
ΔE to the lowest computed polymorph in meV per atom: 0
Formation energy without anion corrections in eV per atom: -0.6677
Density in g/cm³: 6.64
Volume in Å³/cell: 162

a b c (Å): 4.865 4.865 7.654
angles (deg): 71.47 71.47 90.00
Each line ends with the local moment (μB).
Fractional coordinates of all 8 atoms:
1 F 0.500 0.500 0.000  0.02
2 F 0.250 0.750 0.500  0.02
3 Bi 0.000 0.000 0.000  -0.01
4 Bi 0.750 0.250 0.500  -0.01
5 Ti 0.375 0.125 0.250  0.70
6 Ti 0.375 0.625 0.250  0.68
7 Ti 0.375 0.625 0.750  0.73
8 Ti 0.875 0.625 0.750  0.71


Entry 9:
The following is a DFT calculation (GGA-PBE) of a relaxed CuHgAs2 crystal.

## Properties
Total DFT energy (no corrections) in eV/cell: -12.4
ΔE_f in meV per atom: 332.8
Space group: R3m, No. 160
DOS(E_F) in states/eV/cell: 1.8
Density in g/cm³: 9.06
Volume in Å³/cell: 76

a b c (Å): 9.454 9.454 9.454
angles (deg): 18.69 18.69 18.69
Fractional coordinates of all 4 atoms:
1 As 0.007 0.007 0.007
2 As 0.761 0.761 0.761
3 Cu 0.493 0.493 0.493
4 Hg 0.239 0.239 0.239


Entry 10:
The following is a DFT calculation (GGA-PBE) of a relaxed SnBiOF2 crystal.

## Properties
Total DFT energy (no corrections) in eV/cell: -22.4
Space group: P4/mmm, No. 123
DOS(E_F) in states/eV/cell: 4.5
ΔE to the lowest computed polymorph in meV per atom: 81
Formation energy without anion corrections in eV per atom: -1.1607
Density in g/cm³: 7.19
Volume in Å³/cell: 88

a b c (Å): 4.559 4.559 4.240
angles (deg): 90.00 90.00 90.00
Fractional coordinates of all 5 atoms:
1 F 0.000 0.500 0.000
2 F 0.500 0.000 0.000
3 Bi 0.500 0.500 0.500
4 O 0.000 0.000 0.500
5 Sn 0.000 0.000 0.000


Entry 11:
The following is a DFT calculation (GGA-PBE) of a relaxed CaMg2Cu4 crystal.

## Properties
Total DFT energy (no corrections) in eV/cell: -44.8
ΔE_f in meV per atom: -116.8
Space group: I4/mcm, No. 140
DOS(E_F) in states/eV/cell: 3.9
ΔE to the lowest computed polymorph in meV per atom: 0
Density in g/cm³: 4.59
Volume in Å³/cell: 248

a b c (Å): 6.858 6.858 6.858
angles (deg): 109.79 109.79 108.84
Fractional coordinates of all 14 atoms:
1 Ca 0.750 0.750 0.000
2 Ca 0.250 0.250 0.000
3 Cu 0.973 0.473 0.780
4 Cu 0.693 0.193 0.220
5 Cu 0.193 0.973 0.500
6 Cu 0.473 0.693 0.500
7 Cu 0.527 0.307 0.500
8 Cu 0.807 0.027 0.500
9 Cu 0.307 0.807 0.780
10 Cu 0.027 0.527 0.220
11 Mg 0.657 0.157 0.814
12 Mg 0.343 0.843 0.186
13 Mg 0.843 0.657 0.500
14 Mg 0.157 0.343 0.500


Entry 12:
The following is a DFT calculation (GGA-PBE) of a relaxed RbCd2Cl2 crystal.

## Properties
Total DFT energy (no corrections) in eV/cell: -20.2
Space group: P4/mbm, No. 127
DOS(E_F) in states/eV/cell: 3.6
ΔE to the lowest computed polymorph in meV per atom: 83
Formation energy without anion corrections in eV per atom: -0.7199
Density in g/cm³: 3.57
Volume in Å³/cell: 355

a b c (Å): 9.134 9.134 4.250
angles (deg): 90.00 90.00 90.00
Fractional coordinates of all 10 atoms:
1 Cl 0.249 0.749 0.500
2 Cl 0.749 0.751 0.500
3 Cl 0.751 0.251 0.500
4 Cl 0.251 0.249 0.500
5 Rb 0.000 0.000 0.000
6 Rb 0.500 0.500 0.000
7 Cd 0.393 0.893 0.000
8 Cd 0.893 0.607 0.000
9 Cd 0.607 0.107 0.000
10 Cd 0.107 0.393 0.000


Entry 13:
The following is a DFT calculation (GGA-PBE) of a relaxed Rb2ZrVS4 crystal.

## Properties
Total DFT energy (no corrections) in eV/cell: -45.1
Space group: I-4, No. 82
DOS(E_F) in states/eV/cell: 4.2
Formation energy without anion corrections in eV per atom: -1.1297
Density in g/cm³: 3.00
Volume in Å³/cell: 244

a b c (Å): 6.899 6.899 6.899
angles (deg): 97.03 116.03 116.03
Each line ends with the local moment (μB).
Fractional coordinates of all 8 atoms:
1 Rb 0.500 0.750 0.250  0.00
2 Rb 0.000 0.000 0.000  0.00
3 Zr 0.500 0.250 0.750  0.30
4 V 0.000 0.500 0.500  2.28
5 S 0.602 0.356 0.467  -0.04
6 S 0.111 0.246 0.644  -0.04
7 S 0.889 0.533 0.135  -0.04
8 S 0.398 0.865 0.754  -0.04


Entry 14:
The following is a DFT calculation (GGA-PBE) of a relaxed SrLa2Ag2Sn2 crystal.

## Properties
Total DFT energy (no corrections) in eV/cell: -28.6
ΔE_f in meV per atom: -480.4
Space group: R-3m, No. 166
DOS(E_F) in states/eV/cell: 1.9
Density in g/cm³: 6.76
Volume in Å³/cell: 201

a b c (Å): 4.895 4.895 10.092
angles (deg): 75.96 75.96 60.00
Fractional coordinates of all 7 atoms:
1 Sr 0.000 0.000 0.000
2 La 0.139 0.139 0.583
3 La 0.861 0.861 0.417
4 Ag 0.575 0.575 0.274
5 Ag 0.425 0.425 0.726
6 Sn 0.741 0.741 0.778
7 Sn 0.259 0.259 0.222